Entry 1:
Gd5Sn4 PBE-GGA optimized geometry; magnetic moment = 0.02 μB per cell
1.0
8.0893 0.0000 0.0000
0.0000 15.5816 0.0000
0.0000 0.0000 8.2431
Sn Gd
16 20
Cartesian
6.4424 0.6455 4.4299 Sn
1.4261 3.8954 2.9140 Sn
5.6914 8.4363 0.3083 Sn
2.6185 11.6862 7.0356 Sn
5.6914 14.9361 0.3083 Sn
2.3978 0.6455 7.9348 Sn
4.5306 11.6862 3.1628 Sn
5.4708 3.8954 1.2076 Sn
1.6468 14.9361 3.8133 Sn
3.5587 3.8954 5.0803 Sn
7.6033 3.8954 7.2844 Sn
1.6468 8.4363 3.8133 Sn
2.3978 7.1453 7.9348 Sn
0.4859 11.6862 0.9588 Sn
6.6631 11.6862 5.3291 Sn
6.4424 7.1453 4.4299 Sn
1.1144 1.9059 5.4646 Gd
6.5185 3.8954 4.1408 Gd
4.1740 9.3047 5.6016 Gd
7.9599 6.2769 1.4800 Gd
5.1590 1.9059 6.9002 Gd
2.9302 13.6757 1.3430 Gd
5.6154 11.6862 0.0192 Gd
6.9749 9.6967 2.7786 Gd
5.1590 5.8849 6.9002 Gd
7.9599 1.5139 1.4800 Gd
2.9302 9.6967 1.3430 Gd
0.1294 9.3047 6.7632 Gd
0.1294 14.0676 6.7632 Gd
3.9152 6.2769 2.6416 Gd
3.9152 1.5139 2.6416 Gd
1.1144 5.8849 5.4646 Gd
1.5708 11.6862 4.1023 Gd
2.4739 3.8954 8.2239 Gd
4.1740 14.0676 5.6016 Gd
6.9749 13.6757 2.7786 Gd

Entry 2:
Fe2GeTe3 PBE-GGA optimized geometry; magnetic moment = 7.24 μB per cell
1.0
-0.0381 2.8001 -2.5455
-2.9272 -2.8415 -5.8948
-9.4131 2.8655 3.2930
Fe Ge Te
4 2 6
Cartesian
-7.4058 3.0723 0.6774 Fe
-4.9726 -0.2483 -5.8247 Fe
-4.7065 1.4327 1.6465 Fe
0.0000 0.0000 0.0000 Fe
-8.1205 3.4578 -1.7010 Ge
-4.2579 -0.6337 -3.4464 Ge
-9.9681 3.0866 0.7315 Te
-9.5603 -0.0700 -2.7468 Te
-2.8182 2.8940 -2.4005 Te
-6.6662 1.0330 -4.3900 Te
-2.4103 -0.2625 -5.8788 Te
-5.7122 1.7911 -0.7573 Te

Entry 3:
TePt124 PBE-GGA optimized geometry; magnetic moment = 0.08 μB per cell
1.0
0.0000 9.9065 9.9065
9.9065 0.0000 9.9065
9.9065 9.9065 0.0000
Pt Te
124 1
Cartesian
13.8682 7.9246 9.9065 Pt
5.9433 5.9433 3.9632 Pt
5.9433 3.9632 5.9433 Pt
9.9065 7.9246 13.8682 Pt
15.8449 11.8906 11.8906 Pt
1.9827 3.9619 5.9446 Pt
3.9619 1.9827 5.9446 Pt
3.9619 5.9446 1.9827 Pt
0.0000 5.9346 5.9346 Pt
3.9660 9.9065 9.9065 Pt
7.9249 11.8882 7.9249 Pt
9.9065 9.9065 7.9249 Pt
11.8885 5.9448 9.9065 Pt
3.9681 7.9225 7.9225 Pt
7.9225 3.9681 7.9225 Pt
5.9446 3.9619 1.9827 Pt
3.9719 9.9065 5.9346 Pt
7.9225 15.8449 7.9225 Pt
11.8885 9.9065 13.8682 Pt
7.9225 3.9681 11.8906 Pt
5.9446 13.8684 7.9238 Pt
13.8684 7.9238 5.9446 Pt
5.9384 7.9225 1.9840 Pt
1.9840 7.9225 5.9384 Pt
7.9238 13.8684 5.9446 Pt
5.9448 9.9065 11.8885 Pt
13.8684 5.9446 7.9238 Pt
0.0000 7.9065 7.9065 Pt
5.9448 7.9246 9.9065 Pt
7.9225 1.9840 5.9384 Pt
13.8682 9.9065 7.9246 Pt
5.9448 11.8885 9.9065 Pt
9.9065 5.9346 3.9719 Pt
9.9065 7.9249 9.9065 Pt
3.9719 0.0000 3.9719 Pt
7.9246 13.8682 9.9065 Pt
9.9065 9.9065 3.9660 Pt
7.9246 9.9065 13.8682 Pt
11.8906 15.8449 11.8906 Pt
7.9249 9.9065 9.9065 Pt
11.8885 13.8682 9.9065 Pt
3.9632 3.9632 3.9632 Pt
13.8684 11.8892 13.8684 Pt
13.8682 11.8885 9.9065 Pt
0.0000 3.9719 3.9719 Pt
2.0000 7.9065 9.9065 Pt
2.0000 9.9065 7.9065 Pt
1.9827 5.9446 3.9619 Pt
7.9249 11.8882 11.8882 Pt
11.8906 7.9225 3.9681 Pt
3.9719 3.9719 0.0000 Pt
7.9249 7.9249 11.8882 Pt
7.9225 11.8906 3.9681 Pt
9.9065 3.9660 9.9065 Pt
5.9446 1.9827 3.9619 Pt
7.9246 9.9065 5.9448 Pt
3.9681 11.8906 7.9225 Pt
5.9346 0.0000 5.9346 Pt
1.9840 5.9384 7.9225 Pt
7.9246 5.9448 9.9065 Pt
15.8449 7.9225 7.9225 Pt
13.8684 13.8684 11.8892 Pt
13.8697 15.8498 13.8697 Pt
3.9632 5.9433 5.9433 Pt
7.9065 9.9065 2.0000 Pt
9.9065 9.9065 11.8881 Pt
7.9225 7.9225 3.9681 Pt
11.8882 11.8882 7.9249 Pt
5.9384 1.9840 7.9225 Pt
7.9065 0.0000 7.9065 Pt
5.9446 5.9446 7.9238 Pt
9.9065 7.9246 5.9448 Pt
3.9681 1.9840 1.9840 Pt
3.9619 3.9619 7.9238 Pt
7.9225 5.9384 1.9840 Pt
7.9225 7.9225 15.8449 Pt
11.8892 5.9446 5.9446 Pt
5.9346 5.9346 0.0000 Pt
15.8498 13.8697 13.8697 Pt
7.9249 7.9249 7.9249 Pt
0.0000 2.0000 2.0000 Pt
9.9065 3.9719 5.9346 Pt
9.9065 5.9448 11.8885 Pt
5.9446 7.9238 13.8684 Pt
9.9065 9.9065 15.8470 Pt
5.9448 9.9065 7.9246 Pt
7.9238 3.9619 3.9619 Pt
2.0000 2.0000 0.0000 Pt
9.9065 2.0000 7.9065 Pt
13.8682 9.9065 11.8885 Pt
11.8882 11.8882 11.8882 Pt
9.9065 13.8682 7.9246 Pt
5.9346 9.9065 3.9719 Pt
7.9238 5.9446 13.8684 Pt
11.8881 9.9065 9.9065 Pt
11.8882 7.9249 11.8882 Pt
3.9681 7.9225 11.8906 Pt
11.8906 11.8906 15.8449 Pt
15.8470 9.9065 9.9065 Pt
7.9065 2.0000 9.9065 Pt
5.9446 7.9238 5.9446 Pt
1.9840 1.9840 3.9681 Pt
5.9446 5.9446 11.8892 Pt
13.8697 13.8697 15.8498 Pt
9.9065 13.8682 11.8885 Pt
1.9840 3.9681 1.9840 Pt
9.9065 15.8470 9.9065 Pt
15.8498 15.8498 15.8498 Pt
11.8882 7.9249 7.9249 Pt
5.9346 3.9719 9.9065 Pt
7.9238 5.9446 5.9446 Pt
9.9065 11.8885 5.9448 Pt
9.9065 11.8885 13.8682 Pt
9.9065 5.9448 7.9246 Pt
9.9065 7.9065 2.0000 Pt
7.9065 7.9065 0.0000 Pt
11.8885 9.9065 5.9448 Pt
3.9719 5.9346 9.9065 Pt
2.0000 0.0000 2.0000 Pt
5.9446 11.8892 5.9446 Pt
11.8892 13.8684 13.8684 Pt
3.9619 7.9238 3.9619 Pt
11.8906 3.9681 7.9225 Pt
9.9065 11.8881 9.9065 Pt
0.0000 0.0000 0.0000 Te

Entry 4:
# Cu2Se

A geometry-optimized Cu2Se structure (PBE-GGA, OQMD).

Structure (POSCAR):
```
Cu2Se
1.0
-3.9981 -0.2901 -1.3658
2.3330 -2.2155 -6.3587
3.4932 -6.5457 3.5623
Cu Se
8 4
Cartesian
0.2826 -7.2859 0.6036 Cu
3.7693 -6.0003 -0.5059 Cu
1.5456 -1.7654 -4.7658 Cu
-1.9411 -3.0509 -3.6564 Cu
-1.4885 -3.9897 -1.1107 Cu
0.8643 -1.6274 0.8703 Cu
0.9639 -7.4238 -5.0325 Cu
3.3167 -5.0616 -3.0516 Cu
-1.2851 -1.7138 -1.8812 Se
3.1132 -7.3374 -2.2811 Se
0.4556 -4.9810 -0.0838 Se
1.3726 -4.0702 -4.0784 Se
```

Number 1: final energy -184.51 eV for the cell shown. Number 2: final energy -60.12 eV for the cell shown. Number 3: final energy -753.69 eV for the cell shown. Number 4: final energy -44.24 eV for the cell shown.